Material: GaSeBr2
Method: DFT, GGA-PBE
State: relaxed

Values from the calculation:
The value obtained for the total magnetization is 0.700 μB per atom. The value obtained for the calculated total energy is -2.226 eV per atom. The density of states at the Fermi level is 0.475 states/eV per atom. The value obtained for the energy relative to the lowest polymorph listed for this composition is 710 meV per atom. The formation energy (no corrections) comes out at 239 meV per atom.

Lattice parameters (Å, degrees): 5.3738 5.3738 5.3738 60.00 60.00 60.00
With the nearest neighbours (Å) after each atom.
Element x y z (fractional)
Ga 0.0000 0.0000 0.0000  8 Br 3.29
Se 0.5000 0.5000 0.5000  8 Br 3.29
Br 0.2500 0.2500 0.2500  4 Se 3.29, 4 Ga 3.29
Br 0.7500 0.7500 0.7500  4 Se 3.29, 4 Ga 3.29